# PBE-GGA NbB3Ru, optimized geometry
data_NbB3Ru
_space_group_name_H-M_alt 'P 1'
_space_group_IT_number 1
_space_group_name_Hall 'P 1'
_cell_length_a 4.082
_cell_length_b 4.082
_cell_length_c 4.082
_cell_angle_alpha 90.00
_cell_angle_beta 90.00
_cell_angle_gamma 90.00
loop_
_atom_site_label
_atom_site_type_symbol
_atom_site_fract_x
_atom_site_fract_y
_atom_site_fract_z
Nb1 Nb 0.000 0.000 0.000
B1 B 0.000 0.000 0.500
B2 B 0.000 0.500 0.000
B3 B 0.500 0.000 0.000
Ru1 Ru 0.500 0.500 0.500
# energy above the most stable polymorph in this dataset: 226.7 kJ per mole of atoms
# DFT formation energy: 863 kJ/mol of formula units



# PBE-GGA Nb2BRu6, optimized geometry
data_Nb2BRu6
_space_group_name_H-M_alt 'P 1'
_space_group_IT_number 1
_space_group_name_Hall 'P 1'
_cell_length_a 5.941
_cell_length_b 5.941
_cell_length_c 5.941
_cell_angle_alpha 135.89
_cell_angle_beta 105.48
_cell_angle_gamma 90.87
loop_
_atom_site_label
_atom_site_type_symbol
_atom_site_fract_x
_atom_site_fract_y
_atom_site_fract_z
Nb1 Nb 0.188 0.188 0.000
Nb2 Nb 0.812 0.812 0.000
B1 B 0.500 0.500 0.000
Ru1 Ru 0.056 0.349 0.707
Ru2 Ru 0.333 0.000 0.333
Ru3 Ru 0.358 0.651 0.707
Ru4 Ru 0.642 0.349 0.293
Ru5 Ru 0.667 0.000 0.667
Ru6 Ru 0.944 0.651 0.293
# DFT formation energy: 155 kJ/mol of formula units



# PBE-GGA Nb2BRu, optimized geometry
data_Nb2BRu
_space_group_name_H-M_alt 'P 1'
_space_group_IT_number 1
_space_group_name_Hall 'P 1'
_cell_length_a 5.826
_cell_length_b 5.826
_cell_length_c 5.826
_cell_angle_alpha 97.88
_cell_angle_beta 97.88
_cell_angle_gamma 136.54
loop_
_atom_site_label
_atom_site_type_symbol
_atom_site_fract_x
_atom_site_fract_y
_atom_site_fract_z
Nb1 Nb 0.005 0.625 0.880
Nb2 Nb 0.375 0.255 0.380
Nb3 Nb 0.745 0.125 0.120
Nb4 Nb 0.875 0.995 0.620
B1 B 0.000 0.000 0.000
B2 B 0.750 0.250 0.500
Ru1 Ru 0.250 0.750 0.500
Ru2 Ru 0.500 0.500 0.000
# DFT formation energy: 59 kJ/mol of formula units



# PBE-GGA NbB2RuS, optimized geometry
data_NbB2RuS
_space_group_name_H-M_alt 'P 1'
_space_group_IT_number 1
_space_group_name_Hall 'P 1'
_cell_length_a 3.802
_cell_length_b 3.802
_cell_length_c 4.657
_cell_angle_alpha 90.00
_cell_angle_beta 90.00
_cell_angle_gamma 90.00
loop_
_atom_site_label
_atom_site_type_symbol
_atom_site_fract_x
_atom_site_fract_y
_atom_site_fract_z
Nb1 Nb 0.000 0.000 0.000
B1 B 0.000 0.500 0.500
B2 B 0.500 0.000 0.500
Ru1 Ru 0.500 0.500 0.000
S1 S 0.000 0.000 0.500
# raw formation energy: 1.30 eV per atom



# PBE-GGA Sc2NbB2Ru5, optimized geometry
data_Sc2NbB2Ru5
_space_group_name_H-M_alt 'P 1'
_space_group_IT_number 1
_space_group_name_Hall 'P 1'
_cell_length_a 9.499
_cell_length_b 9.499
_cell_length_c 3.074
_cell_angle_alpha 90.00
_cell_angle_beta 90.00
_cell_angle_gamma 90.00
loop_
_atom_site_label
_atom_site_type_symbol
_atom_site_fract_x
_atom_site_fract_y
_atom_site_fract_z
Sc1 Sc 0.174 0.326 0.000
Sc2 Sc 0.326 0.826 0.000
Sc3 Sc 0.674 0.174 0.000
Sc4 Sc 0.826 0.674 0.000
Nb1 Nb 0.000 0.000 0.000
Nb2 Nb 0.500 0.500 0.000
B1 B 0.121 0.621 0.000
B2 B 0.379 0.121 0.000
B3 B 0.621 0.879 0.000
B4 B 0.879 0.379 0.000
Ru1 Ru 0.000 0.500 0.500
Ru2 Ru 0.073 0.783 0.500
Ru3 Ru 0.217 0.073 0.500
Ru4 Ru 0.283 0.573 0.500
Ru5 Ru 0.427 0.283 0.500
Ru6 Ru 0.500 0.000 0.500
Ru7 Ru 0.573 0.717 0.500
Ru8 Ru 0.717 0.427 0.500
Ru9 Ru 0.783 0.927 0.500
Ru10 Ru 0.927 0.217 0.500
# DFT formation energy: -543 kJ/mol of formula units



# PBE-GGA Nb2SiB2Ru5, optimized geometry
data_Nb2SiB2Ru5
_space_group_name_H-M_alt 'P 1'
_space_group_IT_number 1
_space_group_name_Hall 'P 1'
_cell_length_a 9.304
_cell_length_b 9.304
_cell_length_c 2.955
_cell_angle_alpha 90.00
_cell_angle_beta 90.00
_cell_angle_gamma 90.00
loop_
_atom_site_label
_atom_site_type_symbol
_atom_site_fract_x
_atom_site_fract_y
_atom_site_fract_z
Nb1 Nb 0.177 0.323 0.000
Nb2 Nb 0.323 0.823 0.000
Nb3 Nb 0.677 0.177 0.000
Nb4 Nb 0.823 0.677 0.000
Si1 Si 0.000 0.000 0.000
Si2 Si 0.500 0.500 0.000
B1 B 0.125 0.625 0.000
B2 B 0.375 0.125 0.000
B3 B 0.625 0.875 0.000
B4 B 0.875 0.375 0.000
Ru1 Ru 0.000 0.500 0.500
Ru2 Ru 0.067 0.789 0.500
Ru3 Ru 0.211 0.067 0.500
Ru4 Ru 0.289 0.567 0.500
Ru5 Ru 0.433 0.289 0.500
Ru6 Ru 0.500 0.000 0.500
Ru7 Ru 0.567 0.711 0.500
Ru8 Ru 0.711 0.433 0.500
Ru9 Ru 0.789 0.933 0.500
Ru10 Ru 0.933 0.211 0.500
# raw formation energy: -0.60 eV per atom



# PBE-GGA Nb2SnB2Ru5, optimized geometry
data_Nb2SnB2Ru5
_space_group_name_H-M_alt 'P 1'
_space_group_IT_number 1
_space_group_name_Hall 'P 1'
_cell_length_a 9.525
_cell_length_b 9.525
_cell_length_c 3.018
_cell_angle_alpha 90.00
_cell_angle_beta 90.00
_cell_angle_gamma 90.00
loop_
_atom_site_label
_atom_site_type_symbol
_atom_site_fract_x
_atom_site_fract_y
_atom_site_fract_z
Nb1 Nb 0.177 0.323 0.000
Nb2 Nb 0.323 0.823 0.000
Nb3 Nb 0.677 0.177 0.000
Nb4 Nb 0.823 0.677 0.000
Sn1 Sn 0.000 0.000 0.000
Sn2 Sn 0.500 0.500 0.000
B1 B 0.122 0.622 0.000
B2 B 0.378 0.122 0.000
B3 B 0.622 0.878 0.000
B4 B 0.878 0.378 0.000
Ru1 Ru 0.000 0.500 0.500
Ru2 Ru 0.070 0.778 0.500
Ru3 Ru 0.222 0.070 0.500
Ru4 Ru 0.278 0.570 0.500
Ru5 Ru 0.430 0.278 0.500
Ru6 Ru 0.500 0.000 0.500
Ru7 Ru 0.570 0.722 0.500
Ru8 Ru 0.722 0.430 0.500
Ru9 Ru 0.778 0.930 0.500
Ru10 Ru 0.930 0.222 0.500
# DFT formation energy: -408 kJ/mol of formula units



# PBE-GGA Ta2NbB2Ru5, optimized geometry
data_Ta2NbB2Ru5
_space_group_name_H-M_alt 'P 1'
_space_group_IT_number 1
_space_group_name_Hall 'P 1'
_cell_length_a 9.458
_cell_length_b 9.458
_cell_length_c 3.023
_cell_angle_alpha 90.00
_cell_angle_beta 90.00
_cell_angle_gamma 90.00
loop_
_atom_site_label
_atom_site_type_symbol
_atom_site_fract_x
_atom_site_fract_y
_atom_site_fract_z
Ta1 Ta 0.176 0.324 0.000
Ta2 Ta 0.324 0.824 0.000
Ta3 Ta 0.676 0.176 0.000
Ta4 Ta 0.824 0.676 0.000
Nb1 Nb 0.000 0.000 0.000
Nb2 Nb 0.500 0.500 0.000
B1 B 0.122 0.622 0.000
B2 B 0.378 0.122 0.000
B3 B 0.622 0.878 0.000
B4 B 0.878 0.378 0.000
Ru1 Ru 0.000 0.500 0.500
Ru2 Ru 0.071 0.781 0.500
Ru3 Ru 0.219 0.071 0.500
Ru4 Ru 0.281 0.571 0.500
Ru5 Ru 0.429 0.281 0.500
Ru6 Ru 0.500 0.000 0.500
Ru7 Ru 0.571 0.719 0.500
Ru8 Ru 0.719 0.429 0.500
Ru9 Ru 0.781 0.929 0.500
Ru10 Ru 0.929 0.219 0.500
# DFT formation energy: -468 kJ/mol of formula units



# PBE-GGA TaNb2B2Ru5, optimized geometry
data_TaNb2B2Ru5
_space_group_name_H-M_alt 'P 1'
_space_group_IT_number 1
_space_group_name_Hall 'P 1'
_cell_length_a 9.483
_cell_length_b 9.483
_cell_length_c 3.017
_cell_angle_alpha 90.00
_cell_angle_beta 90.00
_cell_angle_gamma 90.00
loop_
_atom_site_label
_atom_site_type_symbol
_atom_site_fract_x
_atom_site_fract_y
_atom_site_fract_z
Ta1 Ta 0.000 0.000 0.000
Ta2 Ta 0.500 0.500 0.000
Nb1 Nb 0.176 0.324 0.000
Nb2 Nb 0.324 0.824 0.000
Nb3 Nb 0.676 0.176 0.000
Nb4 Nb 0.824 0.676 0.000
B1 B 0.121 0.621 0.000
B2 B 0.379 0.121 0.000
B3 B 0.621 0.879 0.000
B4 B 0.879 0.379 0.000
Ru1 Ru 0.000 0.500 0.500
Ru2 Ru 0.071 0.781 0.500
Ru3 Ru 0.219 0.071 0.500
Ru4 Ru 0.281 0.571 0.500
Ru5 Ru 0.429 0.281 0.500
Ru6 Ru 0.500 0.000 0.500
Ru7 Ru 0.571 0.719 0.500
Ru8 Ru 0.719 0.429 0.500
Ru9 Ru 0.781 0.929 0.500
Ru10 Ru 0.929 0.219 0.500
# DFT formation energy: -476 kJ/mol of formula units



# PBE-GGA Tb2NbB2Ru5, optimized geometry
data_Tb2NbB2Ru5
_space_group_name_H-M_alt 'P 1'
_space_group_IT_number 1
_space_group_name_Hall 'P 1'
_cell_length_a 9.706
_cell_length_b 9.706
_cell_length_c 3.135
_cell_angle_alpha 90.00
_cell_angle_beta 90.00
_cell_angle_gamma 90.00
loop_
_atom_site_label
_atom_site_type_symbol
_atom_site_fract_x
_atom_site_fract_y
_atom_site_fract_z
Tb1 Tb 0.175 0.325 0.000
Tb2 Tb 0.325 0.825 0.000
Tb3 Tb 0.675 0.175 0.000
Tb4 Tb 0.825 0.675 0.000
Nb1 Nb 0.000 0.000 0.000
Nb2 Nb 0.500 0.500 0.000
B1 B 0.120 0.620 0.000
B2 B 0.380 0.120 0.000
B3 B 0.620 0.880 0.000
B4 B 0.880 0.380 0.000
Ru1 Ru 0.000 0.500 0.500
Ru2 Ru 0.071 0.782 0.500
Ru3 Ru 0.218 0.071 0.500
Ru4 Ru 0.282 0.571 0.500
Ru5 Ru 0.429 0.282 0.500
Ru6 Ru 0.500 0.000 0.500
Ru7 Ru 0.571 0.718 0.500
Ru8 Ru 0.718 0.429 0.500
Ru9 Ru 0.782 0.929 0.500
Ru10 Ru 0.929 0.218 0.500
# DFT formation energy: -451 kJ/mol of formula units



# PBE-GGA Nb2VB2Ru5, optimized geometry
data_Nb2VB2Ru5
_space_group_name_H-M_alt 'P 1'
_space_group_IT_number 1
_space_group_name_Hall 'P 1'
_cell_length_a 9.353
_cell_length_b 9.353
_cell_length_c 2.976
_cell_angle_alpha 90.00
_cell_angle_beta 90.00
_cell_angle_gamma 90.00
loop_
_atom_site_label
_atom_site_type_symbol
_atom_site_fract_x
_atom_site_fract_y
_atom_site_fract_z
Nb1 Nb 0.177 0.323 0.000
Nb2 Nb 0.323 0.823 0.000
Nb3 Nb 0.677 0.177 0.000
Nb4 Nb 0.823 0.677 0.000
V1 V 0.000 0.000 0.000
V2 V 0.500 0.500 0.000
B1 B 0.123 0.623 0.000
B2 B 0.377 0.123 0.000
B3 B 0.623 0.877 0.000
B4 B 0.877 0.377 0.000
Ru1 Ru 0.000 0.500 0.500
Ru2 Ru 0.069 0.786 0.500
Ru3 Ru 0.214 0.069 0.500
Ru4 Ru 0.286 0.569 0.500
Ru5 Ru 0.431 0.286 0.500
Ru6 Ru 0.500 0.000 0.500
Ru7 Ru 0.569 0.714 0.500
Ru8 Ru 0.714 0.431 0.500
Ru9 Ru 0.786 0.931 0.500
Ru10 Ru 0.931 0.214 0.500
# DFT formation energy: -470 kJ/mol of formula units



# PBE-GGA Y2NbB2Ru5, optimized geometry
data_Y2NbB2Ru5
_space_group_name_H-M_alt 'P 1'
_space_group_IT_number 1
_space_group_name_Hall 'P 1'
_cell_length_a 9.702
_cell_length_b 9.702
_cell_length_c 3.134
_cell_angle_alpha 90.00
_cell_angle_beta 90.00
_cell_angle_gamma 90.00
loop_
_atom_site_label
_atom_site_type_symbol
_atom_site_fract_x
_atom_site_fract_y
_atom_site_fract_z
Y1 Y 0.175 0.325 0.000
Y2 Y 0.325 0.825 0.000
Y3 Y 0.675 0.175 0.000
Y4 Y 0.825 0.675 0.000
Nb1 Nb 0.000 0.000 0.000
Nb2 Nb 0.500 0.500 0.000
B1 B 0.120 0.620 0.000
B2 B 0.380 0.120 0.000
B3 B 0.620 0.880 0.000
B4 B 0.880 0.380 0.000
Ru1 Ru 0.000 0.500 0.500
Ru2 Ru 0.071 0.782 0.500
Ru3 Ru 0.218 0.071 0.500
Ru4 Ru 0.282 0.571 0.500
Ru5 Ru 0.429 0.282 0.500
Ru6 Ru 0.500 0.000 0.500
Ru7 Ru 0.571 0.718 0.500
Ru8 Ru 0.718 0.429 0.500
Ru9 Ru 0.782 0.929 0.500
Ru10 Ru 0.929 0.218 0.500
# DFT formation energy: -448 kJ/mol of formula units



# PBE-GGA Nb2ZnB2Ru5, optimized geometry
data_Nb2ZnB2Ru5
_space_group_name_H-M_alt 'P 1'
_space_group_IT_number 1
_space_group_name_Hall 'P 1'
_cell_length_a 9.310
_cell_length_b 9.310
_cell_length_c 3.019
_cell_angle_alpha 90.00
_cell_angle_beta 90.00
_cell_angle_gamma 90.00
loop_
_atom_site_label
_atom_site_type_symbol
_atom_site_fract_x
_atom_site_fract_y
_atom_site_fract_z
Nb1 Nb 0.177 0.323 0.000
Nb2 Nb 0.323 0.823 0.000
Nb3 Nb 0.677 0.177 0.000
Nb4 Nb 0.823 0.677 0.000
Zn1 Zn 0.000 0.000 0.000
Zn2 Zn 0.500 0.500 0.000
B1 B 0.126 0.626 0.000
B2 B 0.374 0.126 0.000
B3 B 0.626 0.874 0.000
B4 B 0.874 0.374 0.000
Ru1 Ru 0.000 0.500 0.500
Ru2 Ru 0.070 0.784 0.500
Ru3 Ru 0.216 0.070 0.500
Ru4 Ru 0.284 0.570 0.500
Ru5 Ru 0.430 0.284 0.500
Ru6 Ru 0.500 0.000 0.500
Ru7 Ru 0.570 0.716 0.500
Ru8 Ru 0.716 0.430 0.500
Ru9 Ru 0.784 0.930 0.500
Ru10 Ru 0.930 0.216 0.500
# DFT formation energy: -389 kJ/mol of formula units



# PBE-GGA Zr2NbB2Ru5, optimized geometry
data_Zr2NbB2Ru5
_space_group_name_H-M_alt 'P 1'
_space_group_IT_number 1
_space_group_name_Hall 'P 1'
_cell_length_a 9.519
_cell_length_b 9.519
_cell_length_c 3.115
_cell_angle_alpha 90.00
_cell_angle_beta 90.00
_cell_angle_gamma 90.00
loop_
_atom_site_label
_atom_site_type_symbol
_atom_site_fract_x
_atom_site_fract_y
_atom_site_fract_z
Zr1 Zr 0.176 0.324 0.000
Zr2 Zr 0.324 0.824 0.000
Zr3 Zr 0.676 0.176 0.000
Zr4 Zr 0.824 0.676 0.000
Nb1 Nb 0.000 0.000 0.000
Nb2 Nb 0.500 0.500 0.000
B1 B 0.121 0.621 0.000
B2 B 0.379 0.121 0.000
B3 B 0.621 0.879 0.000
B4 B 0.879 0.379 0.000
Ru1 Ru 0.000 0.500 0.500
Ru2 Ru 0.071 0.782 0.500
Ru3 Ru 0.218 0.071 0.500
Ru4 Ru 0.282 0.571 0.500
Ru5 Ru 0.429 0.282 0.500
Ru6 Ru 0.500 0.000 0.500
Ru7 Ru 0.571 0.718 0.500
Ru8 Ru 0.718 0.429 0.500
Ru9 Ru 0.782 0.929 0.500
Ru10 Ru 0.929 0.218 0.500
# DFT formation energy: -590 kJ/mol of formula units



# PBE-GGA ZrNb2B2Ru5, optimized geometry
data_ZrNb2B2Ru5
_space_group_name_H-M_alt 'P 1'
_space_group_IT_number 1
_space_group_name_Hall 'P 1'
_cell_length_a 9.524
_cell_length_b 9.524
_cell_length_c 3.058
_cell_angle_alpha 90.00
_cell_angle_beta 90.00
_cell_angle_gamma 90.00
loop_
_atom_site_label
_atom_site_type_symbol
_atom_site_fract_x
_atom_site_fract_y
_atom_site_fract_z
Zr1 Zr 0.000 0.000 0.000
Zr2 Zr 0.500 0.500 0.000
Nb1 Nb 0.176 0.324 0.000
Nb2 Nb 0.324 0.824 0.000
Nb3 Nb 0.676 0.176 0.000
Nb4 Nb 0.824 0.676 0.000
B1 B 0.121 0.621 0.000
B2 B 0.379 0.121 0.000
B3 B 0.621 0.879 0.000
B4 B 0.879 0.379 0.000
Ru1 Ru 0.000 0.500 0.500
Ru2 Ru 0.072 0.778 0.500
Ru3 Ru 0.222 0.072 0.500
Ru4 Ru 0.278 0.572 0.500
Ru5 Ru 0.428 0.278 0.500
Ru6 Ru 0.500 0.000 0.500
Ru7 Ru 0.572 0.722 0.500
Ru8 Ru 0.722 0.428 0.500
Ru9 Ru 0.778 0.928 0.500
Ru10 Ru 0.928 0.222 0.500
# DFT formation energy: -448 kJ/mol of formula units



# PBE-GGA NbB2S2, optimized geometry
data_NbB2S2
_space_group_name_H-M_alt 'P 1'
_space_group_IT_number 1
_space_group_name_Hall 'P 1'
_cell_length_a 4.429
_cell_length_b 4.429
_cell_length_c 4.429
_cell_angle_alpha 121.11
_cell_angle_beta 121.11
_cell_angle_gamma 88.09
loop_
_atom_site_label
_atom_site_type_symbol
_atom_site_fract_x
_atom_site_fract_y
_atom_site_fract_z
Nb1 Nb 0.000 0.000 0.000
B1 B 0.370 0.370 0.000
B2 B 0.630 0.630 0.000
S1 S 0.250 0.750 0.500
S2 S 0.750 0.250 0.500
# raw formation energy: 0.41 eV per atom
# energy above the most stable polymorph in this dataset: 38.6 kJ per mole of atoms



# PBE-GGA Nb3BS, optimized geometry
data_Nb3BS
_space_group_name_H-M_alt 'P 1'
_space_group_IT_number 1
_space_group_name_Hall 'P 1'
_cell_length_a 4.355
_cell_length_b 4.355
_cell_length_c 4.355
_cell_angle_alpha 90.00
_cell_angle_beta 90.00
_cell_angle_gamma 90.00
loop_
_atom_site_label
_atom_site_type_symbol
_atom_site_fract_x
_atom_site_fract_y
_atom_site_fract_z
Nb1 Nb 0.000 0.000 0.500
Nb2 Nb 0.000 0.500 0.000
Nb3 Nb 0.500 0.000 0.000
B1 B 0.000 0.000 0.000
S1 S 0.500 0.500 0.500
# raw formation energy: 0.31 eV per atom
# energy above the most stable polymorph in this dataset: 0.0 kJ per mole of atoms



# PBE-GGA Nb7B2S2, optimized geometry
data_Nb7B2S2
_space_group_name_H-M_alt 'P 1'
_space_group_IT_number 1
_space_group_name_Hall 'P 1'
_cell_length_a 7.654
_cell_length_b 7.654
_cell_length_c 7.654
_cell_angle_alpha 154.93
_cell_angle_beta 66.68
_cell_angle_gamma 119.35
loop_
_atom_site_label
_atom_site_type_symbol
_atom_site_fract_x
_atom_site_fract_y
_atom_site_fract_z
Nb1 Nb 0.000 0.000 0.000
Nb2 Nb 0.065 0.390 0.675
Nb3 Nb 0.157 0.780 0.378
Nb4 Nb 0.402 0.780 0.622
Nb5 Nb 0.497 0.602 0.895
Nb6 Nb 0.707 0.602 0.105
Nb7 Nb 0.714 0.390 0.325
B1 B 0.331 0.331 0.000
B2 B 0.767 0.267 0.500
S1 S 0.338 0.098 0.240
S2 S 0.858 0.098 0.760
# raw formation energy: -0.51 eV per atom



# PBE-GGA NbBS2, optimized geometry
data_NbBS2
_space_group_name_H-M_alt 'P 1'
_space_group_IT_number 1
_space_group_name_Hall 'P 1'
_cell_length_a 3.073
_cell_length_b 3.073
_cell_length_c 6.279
_cell_angle_alpha 90.00
_cell_angle_beta 90.00
_cell_angle_gamma 98.05
loop_
_atom_site_label
_atom_site_type_symbol
_atom_site_fract_x
_atom_site_fract_y
_atom_site_fract_z
Nb1 Nb 0.000 0.000 0.000
B1 B 0.500 0.500 0.500
S1 S 0.000 0.500 0.690
S2 S 0.500 0.000 0.310
# raw formation energy: -0.29 eV per atom